Record 1
Compound: CsAg2IO
Source: Alexandria
Functional: PBE-GGA
Structure: relaxed

It has space group P4/mmm (No. 123), with a = 4.8115 Å, b = 4.8115 Å, c = 6.0206 Å, α = 90.00°, β = 90.00° and γ = 90.00°. The asymmetric unit holds Cs at (0.0000, 0.0000, 0.0000), Ag at (0.0000, 0.5000, 0.5000), I at (0.5000, 0.5000, 0.0000) and O at (0.0000, 0.0000, 0.5000).

Its formation energy from raw total energies is -7.1 kcal/mol of atoms.

Record 2
Compound: Y2ZrInH
Source: Alexandria
Functional: PBE-GGA
Structure: relaxed

It has space group P4/mmm (No. 123), with a = 4.7779 Å, b = 4.7779 Å, c = 4.6113 Å, α = 90.00°, β = 90.00° and γ = 90.00°. The asymmetric unit holds Y at (0.0000, 0.5000, 0.0000), Zr at (0.0000, 0.0000, 0.5000), In at (0.5000, 0.5000, 0.5000) and H at (0.0000, 0.0000, 0.0000).

DOS at the Fermi energy readings, ordered: 0.2 5.4 states/eV/cell
Final energy readings, ordered: -2.92 -5.84 eV/atom